Entry 1:
An optimized crystal structure of FeTeH. Source: Alexandria, functional PBE-GGA.

Results
E   -28.2 eV for the cell shown
Fermi-level density of states   0.347 states/eV per atom

Cell: 3.132 3.328 7.825 Å, 90.00 90.00 90.00°
Space group Imm2 (No. 44)
Symmetry-distinct sites (fractional):
Fe 0.000 0.000 0.000 x2
Te 0.000 0.000 0.666 x2
H 0.000 0.500 0.415 x2



Entry 2:
An optimized crystal structure of TlFeTe2H. Source: Alexandria, functional PBE-GGA.

Results
E   -15.5 eV for the cell shown
Fermi-level density of states   1.561 states/eV per atom

Cell: 4.670 4.670 4.684 Å, 90.00 90.00 90.00°
Space group P4/mmm (No. 123)
Symmetry-distinct sites (fractional):
Tl 0.000 0.000 0.000 x1
Fe 0.500 0.500 0.000 x1
Te 0.000 0.500 0.500 x2
H 0.000 0.000 0.500 x1



Entry 3:
An optimized crystal structure of ThFe3H6. Source: Alexandria, functional PBE-GGA.

Results
E   -163.4 eV for the cell shown
Fermi-level density of states   0.320 states/eV per atom

Cell: 4.4487 4.4487 15.1352 Å, 90.00 90.00 120.00°
Space group R3 (No. 146, hexagonal axes)
Symmetry-distinct sites (fractional):
Th 0.0000 0.0000 0.0000 x3
Fe 0.0000 0.0000 0.2018 x3
Fe 0.0000 0.0000 0.5246 x3
Fe 0.0000 0.0000 0.8169 x3
H 0.0047 0.3733 0.7947 x9
H 0.1629 0.8275 0.2740 x9



Entry 4:
An optimized crystal structure of ThFe2H4. Source: Alexandria, functional PBE-GGA.

Results
E   -156.5 eV for the cell shown
Fermi-level density of states   0.369 states/eV per atom

Cell: 4.340 7.319 8.780 Å, 90.00 90.00 90.00°
Space group Cccm (No. 66)
Symmetry-distinct sites (fractional):
Th 0.000 0.000 0.250 x4
Fe 0.003 0.331 0.000 x8
H 0.142 0.108 0.500 x8
H 0.250 0.250 0.138 x8



Entry 5:
An optimized crystal structure of ThFeH6. Source: Alexandria, functional PBE-GGA.

Results
E   -117.7 eV for the cell shown

Cell: 4.4059 4.4059 10.9069 Å, 90.00 90.00 120.00°
Space group R-3m (No. 166, hexagonal axes)
Symmetry-distinct sites (fractional):
Th 0.0000 0.0000 0.0000 x3
Fe 0.0000 0.0000 0.5000 x3
H 0.0171 0.5085 0.9077 x18



Entry 6:
An optimized crystal structure of ThFe5H11. Source: Alexandria, functional PBE-GGA.

Results
E   -173.6 eV for the cell shown
Fermi-level density of states   0.407 states/eV per atom

Cell: 5.635 7.782 6.643 Å, 90.00 114.21 90.00°
Space group C2/m (No. 12)
Symmetry-distinct sites (fractional):
Th 0.000 0.000 0.000 x2
Fe 0.000 0.500 0.000 x2
Fe 0.077 0.338 0.355 x8
H 0.000 0.500 0.500 x2
H 0.108 0.325 0.918 x8
H 0.242 0.500 0.251 x4
H 0.246 0.332 0.647 x8



Entry 7:
An optimized crystal structure of ThFe2H8. Source: Alexandria, functional PBE-GGA.

Results
Fermi-level density of states   0.181 states/eV per atom
Excess energy over the best structure of this formula in the dataset   0 meV/atom

Cell: 4.887 8.033 3.757 Å, 90.00 90.09 90.00°
Space group C2/m (No. 12)
Symmetry-distinct sites (fractional):
Th 0.000 0.000 0.000 x2
Fe 0.000 0.326 0.500 x4
H 0.000 0.307 0.000 x4
H 0.002 0.500 0.737 x4
H 0.175 0.146 0.501 x8



Entry 8:
An optimized crystal structure of ThFe2H6. Source: Alexandria, functional PBE-GGA.

Results
E   -89.9 eV for the cell shown
Fermi-level density of states   0.371 states/eV per atom

Cell: 4.768 7.286 4.777 Å, 90.00 90.87 90.00°
Space group C2/m (No. 12)
Symmetry-distinct sites (fractional):
Th 0.000 0.000 0.000 x2
Fe 0.000 0.193 0.500 x4
H 0.201 0.000 0.499 x4
H 0.246 0.252 0.261 x8



Entry 9:
An optimized crystal structure of Th2FeH8. Source: Alexandria, functional PBE-GGA.

Results
E   -105.2 eV for the cell shown
Fermi-level density of states   0.416 states/eV per atom

Cell: 14.591 3.513 4.052 Å, 90.00 105.69 90.00°
Space group C2/m (No. 12)
Symmetry-distinct sites (fractional):
Th 0.141 0.000 0.131 x4
Fe 0.000 0.500 0.500 x2
H 0.002 0.000 0.311 x4
H 0.055 0.500 0.902 x4
H 0.114 0.500 0.514 x4
H 0.242 0.000 0.733 x4



Entry 10:
An optimized crystal structure of Th12Fe3H5. Source: Alexandria, functional PBE-GGA.

Results
E   -1053.8 eV for the cell shown
Fermi-level density of states   1.032 states/eV per atom

Cell: 15.235 15.235 15.235 Å, 90.00 90.00 90.00°
Space group Ia-3d (No. 230)
Symmetry-distinct sites (fractional):
Th 0.033 0.067 0.653 x96
Fe 0.000 0.250 0.125 x24
H 0.000 0.000 0.000 x16
H 0.000 0.250 0.375 x24



Entry 11:
An optimized crystal structure of ThFe2H8. Source: Alexandria, functional PBE-GGA.

Results
Fermi-level density of states   0.419 states/eV per atom
Excess energy over the best structure of this formula in the dataset   102 meV/atom

Cell: 4.109 4.109 4.928 Å, 90.00 90.00 90.00°
Space group P4/mmm (No. 123)
Symmetry-distinct sites (fractional):
Th 0.000 0.000 0.000 x1
Fe 0.000 0.500 0.500 x2
H 0.286 0.286 0.324 x8



Entry 12:
An optimized crystal structure of ThTiFe2H6. Source: Alexandria, functional PBE-GGA.

Results
E   -169.2 eV for the cell shown
Fermi-level density of states   0.005 states/eV per atom

Cell: 4.3145 4.3145 15.7969 Å, 90.00 90.00 120.00°
Space group R-3m (No. 166, hexagonal axes)
Symmetry-distinct sites (fractional):
Th 0.0000 0.0000 0.0000 x3
Ti 0.0000 0.0000 0.5000 x3
Fe 0.0000 0.0000 0.2089 x6
H 0.0185 0.5092 0.0671 x18



> Which formula does entry 5 have?

ThFeH6